Below is a geometry-optimized BaNbAsO structure, with properties calculated at the PBE-GGA level.

Calculated values
As for the space group: P4/nmm. As for the energy above the most stable polymorph in this dataset: 0.49 eV per formula unit. As for the total DFT energy (no corrections): -6.580 eV/atom.

Structure (POSCAR):
```
BaNbAsO
1.0
4.339 0.000 0.000
0.000 4.339 0.000
0.000 0.000 10.374
Ba Nb As O
2 2 2 2
direct
0.250 0.250 0.124
0.750 0.750 0.876
0.250 0.750 0.500
0.750 0.250 0.500
0.250 0.250 0.641
0.750 0.750 0.359
0.250 0.750 0.000
0.750 0.250 0.000
```